No. 1
The following is a GGA-PBE calculation of a geometry-optimized LuSnGe structure, from the Open Quantum Materials Database.

Structure (CIF):
```
data_LuSnGe
_chemical_formula_sum 'Lu4 Sn4 Ge4'
_cell_length_a 6.906
_cell_length_b 6.906
_cell_length_c 6.906
_cell_angle_alpha 90.00
_cell_angle_beta 90.00
_cell_angle_gamma 90.00
_symmetry_space_group_name_H-M 'F -4 3 m'
_symmetry_Int_Tables_number 216
_symmetry_space_group_name_Hall 'F -4 2 3'
loop_
_atom_site_label
_atom_site_fract_x
_atom_site_fract_y
_atom_site_fract_z
Lu1 0.000 0.000 0.000
Sn1 0.250 0.250 0.250
Ge1 0.250 0.250 0.750
```


No. 2
The following is a GGA-PBE calculation of a geometry-optimized Fe2SbP3 structure, from the Open Quantum Materials Database.

Structure (CIF):
```
data_Fe2SbP3
_chemical_formula_sum 'Fe2 Sb1 P3'
_cell_length_a 5.179
_cell_length_b 2.865
_cell_length_c 5.882
_cell_angle_alpha 90.00
_cell_angle_beta 91.89
_cell_angle_gamma 90.00
_symmetry_space_group_name_H-M 'P 1 m 1'
_symmetry_Int_Tables_number 6
loop_
_symmetry_equiv_pos_as_xyz
'x,y,z'
'x,-y,z'
loop_
_atom_site_label
_atom_site_fract_x
_atom_site_fract_y
_atom_site_fract_z
Fe1 0.000 0.000 0.000
Fe2 0.464 0.500 0.534
Sb1 0.819 0.000 0.383
P1 0.184 0.000 0.670
P2 0.314 0.500 0.148
P3 0.662 0.500 0.887
```


Total energy
In order: -53.9; -38.6
Unit: eV/cell